Compound: AcSmRhAu
Source: Alexandria via LeMat-Bulk
Functional: PBE-GGA
Structure: relaxed

a = 5.242 Å, b = 5.242 Å, c = 5.242 Å
α = 60.00°, β = 60.00°, γ = 60.00°
Fractional positions:
Rh 0.500 0.500 0.500
Ac 0.750 0.750 0.750
Au 0.000 0.000 0.000
Sm 0.250 0.250 0.250

Compound: AcSmRhAu
Source: Alexandria via LeMat-Bulk
Functional: PBE-GGA
Structure: relaxed

a = 4.045 Å, b = 4.770 Å, c = 5.813 Å
α = 90.00°, β = 110.36°, γ = 90.00°
Fractional positions:
Ac 0.146 0.000 0.292
Sm 0.867 0.500 0.733
Rh 0.408 0.000 0.816
Au 0.580 0.500 0.160

Compound: Ac2Sn3Rh4Au
Source: Alexandria via LeMat-Bulk
Functional: PBE-GGA
Structure: relaxed

a = 4.492 Å, b = 4.492 Å, c = 11.219 Å
α = 90.00°, β = 90.00°, γ = 90.00°
Fractional positions:
Ac 0.500 0.000 0.257
Ac 0.000 0.500 0.743
Sn 0.000 0.000 0.500
Sn 0.500 0.000 0.876
Sn 0.000 0.500 0.124
Rh 0.500 0.500 0.000
Rh 0.000 0.000 0.000
Rh 0.500 0.000 0.642
Rh 0.000 0.500 0.358
Au 0.500 0.500 0.500

Compound: Ac2Sn4RhAu3
Source: Alexandria via LeMat-Bulk
Functional: PBE-GGA
Structure: relaxed

a = 4.709 Å, b = 4.709 Å, c = 11.378 Å
α = 90.00°, β = 90.00°, γ = 90.00°
Fractional positions:
Ac 0.500 0.000 0.267
Ac 0.000 0.500 0.733
Sn 0.500 0.500 0.000
Sn 0.000 0.000 0.000
Sn 0.500 0.000 0.620
Sn 0.000 0.500 0.380
Rh 0.500 0.500 0.500
Au 0.000 0.000 0.500
Au 0.500 0.000 0.858
Au 0.000 0.500 0.142

Compound: Ac2Sn4Rh3Au
Source: Alexandria via LeMat-Bulk
Functional: PBE-GGA
Structure: relaxed

a = 4.707 Å, b = 4.707 Å, c = 10.686 Å
α = 90.00°, β = 90.00°, γ = 90.00°
Fractional positions:
Ac 0.500 0.000 0.251
Ac 0.000 0.500 0.749
Sn 0.500 0.500 0.000
Sn 0.000 0.000 0.000
Sn 0.500 0.000 0.630
Sn 0.000 0.500 0.370
Rh 0.000 0.000 0.500
Rh 0.500 0.000 0.875
Rh 0.000 0.500 0.125
Au 0.500 0.500 0.500

Compound: Sr2Ac5Rh2Au2
Source: Alexandria via LeMat-Bulk
Functional: PBE-GGA
Structure: relaxed

a = 5.916 Å, b = 5.916 Å, c = 13.873 Å
α = 102.31°, β = 102.31°, γ = 90.00°
Fractional positions:
Sr 0.226 0.226 0.451
Sr 0.774 0.774 0.549
Ac 0.000 0.000 0.000
Ac 0.614 0.114 0.227
Ac 0.886 0.386 0.773
Ac 0.114 0.614 0.227
Ac 0.386 0.886 0.773
Rh 0.104 0.104 0.208
Rh 0.896 0.896 0.792
Au 0.343 0.343 0.685
Au 0.657 0.657 0.315

Compound: AcTbRhAu
Source: Alexandria via LeMat-Bulk
Functional: PBE-GGA
Structure: relaxed

a = 5.207 Å, b = 5.207 Å, c = 5.207 Å
α = 60.00°, β = 60.00°, γ = 60.00°
Fractional positions:
Tb 0.250 0.250 0.250
Ac 0.750 0.750 0.750
Au 0.000 0.000 0.000
Rh 0.500 0.500 0.500

Compound: AcThRhAu
Source: Alexandria via LeMat-Bulk
Functional: PBE-GGA
Structure: relaxed

a = 4.214 Å, b = 4.219 Å, c = 7.874 Å
α = 90.00°, β = 105.50°, γ = 120.03°
Fractional positions:
Ac 0.487 0.141 0.644
Th 0.116 0.956 0.087
Rh 0.318 0.557 0.890
Au 0.957 0.377 0.348

Compound: AcThRhAu
Source: Alexandria via LeMat-Bulk
Functional: PBE-GGA
Structure: relaxed

a = 5.270 Å, b = 5.270 Å, c = 5.270 Å
α = 60.00°, β = 60.00°, γ = 60.00°
Fractional positions:
Rh 0.000 0.000 0.000
Ac 0.250 0.250 0.250
Au 0.500 0.500 0.500
Th 0.750 0.750 0.750

Compound: AcTlRhAu
Source: Alexandria via LeMat-Bulk
Functional: PBE-GGA
Structure: relaxed

a = 5.152 Å, b = 5.152 Å, c = 5.152 Å
α = 60.00°, β = 60.00°, γ = 60.00°
Fractional positions:
Rh 0.500 0.500 0.500
Ac 0.750 0.750 0.750
Au 0.000 0.000 0.000
Tl 0.250 0.250 0.250

Compound: Ac2Zn4Rh3Au
Source: Alexandria via LeMat-Bulk
Functional: PBE-GGA
Structure: relaxed

a = 4.309 Å, b = 4.309 Å, c = 10.875 Å
α = 90.00°, β = 90.00°, γ = 90.00°
Fractional positions:
Ac 0.500 0.000 0.247
Ac 0.000 0.500 0.753
Zn 0.500 0.500 0.000
Zn 0.000 0.000 0.000
Zn 0.500 0.000 0.633
Zn 0.000 0.500 0.367
Rh 0.000 0.000 0.500
Rh 0.500 0.000 0.868
Rh 0.000 0.500 0.132
Au 0.500 0.500 0.500

Compound: AcZnRhAu2
Source: Alexandria via LeMat-Bulk
Functional: PBE-GGA
Structure: relaxed

a = 4.053 Å, b = 4.146 Å, c = 7.101 Å
α = 106.97°, β = 106.58°, γ = 90.00°
Fractional positions:
Ac 0.420 0.420 0.841
Zn 0.198 0.698 0.397
Rh 0.841 0.841 0.682
Au 0.701 0.201 0.402
Au 0.051 0.051 0.102

Compound: Ac5Ru2Au2
Source: Alexandria via LeMat-Bulk
Functional: PBE-GGA
Structure: relaxed

a = 8.212 Å, b = 8.300 Å, c = 9.006 Å
α = 117.44°, β = 90.00°, γ = 90.00°
Fractional positions:
Ac 0.000 0.000 0.000
Ac 0.500 0.500 0.000
Ac 0.838 0.792 0.252
Ac 0.162 0.460 0.252
Ac 0.338 0.960 0.252
Ac 0.662 0.292 0.252
Ac 0.162 0.208 0.748
Ac 0.838 0.540 0.748
Ac 0.662 0.040 0.748
Ac 0.338 0.708 0.748
Ru 0.636 0.862 0.000
Ru 0.364 0.138 0.000
Ru 0.136 0.638 0.000
Ru 0.864 0.362 0.000
Au 0.000 0.206 0.412
Au 0.500 0.706 0.412
Au 0.000 0.794 0.588
Au 0.500 0.294 0.588

Compound: Ac3RuAu2
Source: Alexandria via LeMat-Bulk
Functional: PBE-GGA
Structure: relaxed

a = 4.645 Å, b = 4.260 Å, c = 10.260 Å
α = 114.48°, β = 103.07°, γ = 90.01°
Fractional positions:
Ac 0.934 0.936 0.874
Ac 0.280 0.129 0.566
Ac 0.588 0.743 0.182
Ru 0.434 0.436 0.874
Au 0.129 0.324 0.263
Au 0.739 0.547 0.485

Compound: Ac5RuAu
Source: Alexandria via LeMat-Bulk
Functional: PBE-GGA
Structure: relaxed

a = 4.255 Å, b = 7.698 Å, c = 16.548 Å
α = 89.52°, β = 90.00°, γ = 90.00°
Fractional positions:
Ac 0.250 0.078 0.310
Ac 0.750 0.125 0.912
Ac 0.750 0.281 0.501
Ac 0.250 0.377 0.078
Ac 0.250 0.464 0.717
Ac 0.750 0.536 0.283
Ac 0.750 0.623 0.922
Ac 0.250 0.719 0.499
Ac 0.250 0.875 0.088
Ac 0.750 0.922 0.690
Ru 0.250 0.405 0.387
Ru 0.750 0.595 0.613
Au 0.750 0.138 0.170
Au 0.250 0.862 0.830

Compound: Ac8RuAu2
Source: Alexandria via LeMat-Bulk
Functional: PBE-GGA
Structure: relaxed

a = 4.221 Å, b = 9.848 Å, c = 10.311 Å
α = 93.08°, β = 101.81°, γ = 90.00°
Fractional positions:
Ac 0.406 0.482 0.812
Ac 0.648 0.986 0.295
Ac 0.774 0.670 0.547
Ac 0.007 0.204 0.014
Ac 0.226 0.330 0.453
Ac 0.352 0.014 0.705
Ac 0.594 0.518 0.188
Ac 0.993 0.796 0.986
Ru 0.500 0.000 0.000
Au 0.840 0.263 0.680
Au 0.160 0.737 0.320

Compound: Ac7Ru2Au2
Source: Alexandria via LeMat-Bulk
Functional: PBE-GGA
Structure: relaxed

a = 4.232 Å, b = 10.051 Å, c = 10.051 Å
α = 61.78°, β = 77.85°, γ = 77.85°
Fractional positions:
Ac 0.812 0.074 0.301
Ac 0.886 0.389 0.840
Ac 0.500 0.980 0.020
Ac 0.604 0.504 0.288
Ac 0.396 0.712 0.496
Ac 0.188 0.699 0.926
Ac 0.114 0.160 0.611
Ru 0.000 0.784 0.216
Ru 0.500 0.354 0.646
Au 0.738 0.860 0.664
Au 0.262 0.336 0.140

Compound: Ac12RuAu6
Source: Alexandria via LeMat-Bulk
Functional: PBE-GGA
Structure: relaxed

a = 9.073 Å, b = 9.073 Å, c = 9.073 Å
α = 98.09°, β = 98.09°, γ = 98.09°
Fractional positions:
Ac 0.814 0.581 0.426
Ac 0.426 0.814 0.581
Ac 0.581 0.426 0.814
Ac 0.186 0.419 0.574
Ac 0.574 0.186 0.419
Ac 0.419 0.574 0.186
Ac 0.073 0.968 0.315
Ac 0.032 0.685 0.927
Ac 0.685 0.927 0.032
Ac 0.927 0.032 0.685
Ac 0.968 0.315 0.073
Ac 0.315 0.073 0.968
Ru 0.000 0.000 0.000
Au 0.691 0.872 0.372
Au 0.628 0.309 0.128
Au 0.128 0.628 0.309
Au 0.309 0.128 0.628
Au 0.372 0.691 0.872
Au 0.872 0.372 0.691

Compound: Ac5RuAu4
Source: Alexandria via LeMat-Bulk
Functional: PBE-GGA
Structure: relaxed

a = 6.354 Å, b = 7.793 Å, c = 7.793 Å
α = 80.43°, β = 65.94°, γ = 65.94°
Fractional positions:
Ac 0.902 0.374 0.824
Ac 0.276 0.824 0.626
Ac 0.726 0.176 0.374
Ac 0.100 0.626 0.176
Ac 0.501 0.000 0.000
Ru 0.001 0.000 0.000
Au 0.412 0.398 0.780
Au 0.810 0.780 0.602
Au 0.192 0.220 0.398
Au 0.590 0.602 0.220

Compound: Ac4RuAu3
Source: Alexandria via LeMat-Bulk
Functional: PBE-GGA
Structure: relaxed

a = 7.707 Å, b = 7.845 Å, c = 8.991 Å
α = 90.00°, β = 90.00°, γ = 109.39°
Fractional positions:
Ru 0.750 0.000 0.870
Ru 0.250 0.000 0.130
Ac 0.981 0.235 0.644
Ac 0.505 0.228 0.885
Ac 0.481 0.235 0.356
Ac 0.005 0.228 0.115
Ac 0.995 0.772 0.885
Ac 0.519 0.765 0.644
Ac 0.495 0.772 0.115
Ac 0.019 0.765 0.356
Au 0.750 0.000 0.377
Au 0.250 0.000 0.623
Au 0.750 0.500 0.614
Au 0.750 0.500 0.126
Au 0.250 0.500 0.386
Au 0.250 0.500 0.874

For reference, spin magnetization by record: 0.00, 0.00, 0.00, 0.00, 0.00, 0.00, 0.00, 0.00, 0.00, 0.00, 0.00, 0.00, 0.00, 0.00, 0.00, 0.00, 0.00, 0.00, 0.00, 0.00 μB per formula unit.
For reference, electronic total energy by record: -0.2026, -0.2060, -0.2191, -0.1756, -0.2080, -0.1668, -0.2023, -0.2314, -0.2243, -0.1699, -0.1615, -0.1608, -0.2027, -0.1934, -0.1847, -0.1753, -0.1930, -0.1682, -0.1823, -0.1864 Ha/atom.
For reference, ΔH_f (0 K) by record: -0.65, -0.74, -0.67, -0.64, -0.70, -0.43, -0.66, -0.76, -0.56, -0.35, -0.53, -0.52, -0.44, -0.57, -0.30, -0.34, -0.35, -0.46, -0.67, -0.63 eV/atom.